KBe2H6 | PBE-GGA | optimized geometry

Unit cell a=4.9406 b=4.9406 c=4.9406 alpha=60.00 beta=60.00 gamma=60.00
With the nearest neighbours (Å) after each atom.
Sites, in units of the cell vectors:
K  0.0000  0.0000  0.0000  6 H 2.57
Be  0.2500  0.2500  0.2500  12 H 2.60
Be  0.7500  0.7500  0.7500  12 H 2.60
H  0.3678  0.3678  0.6322  4 H 1.31
H  0.3678  0.6322  0.3678  4 H 1.31
H  0.3678  0.6322  0.6322  4 H 1.31
H  0.6322  0.3678  0.3678  4 H 1.31
H  0.6322  0.3678  0.6322  4 H 1.31
H  0.6322  0.6322  0.3678  4 H 1.31

SG ... Fm-3m (225)
Offset from the most stable computed form ... 1.282 eV/atom
DOS at the Fermi energy ... 2.49 states/eV/f.u.

=====

Cu7Te5 | PBE-GGA | optimized geometry

Unit cell a=6.8510 b=6.8510 c=9.8144 alpha=102.26 beta=102.26 gamma=33.16
With the nearest neighbours (Å) after each atom.
Sites, in units of the cell vectors:
Cu  0.0000  0.0000  0.0000  4 Cu 2.68, 4 Te 2.78
Cu  0.1414  0.1414  0.5672  1 Cu 2.55, 3 Te 2.64-2.68
Cu  0.2351  0.2351  0.8246  2 Cu 2.53-2.55, 5 Te 2.71-2.77
Cu  0.4265  0.4265  0.8178  3 Cu 2.53-2.68, 4 Te 2.57-2.82
Cu  0.5735  0.5735  0.1822  3 Cu 2.53-2.68, 4 Te 2.57-2.82
Cu  0.7649  0.7649  0.1754  2 Cu 2.53-2.55, 5 Te 2.71-2.77
Cu  0.8586  0.8586  0.4328  1 Cu 2.55, 3 Te 2.64-2.68
Te  0.1952  0.1952  0.3239  7 Cu 2.64-2.92
Te  0.3751  0.3751  0.0818  7 Cu 2.57-2.82
Te  0.5000  0.5000  0.5000  4 Cu 2.68
Te  0.6249  0.6249  0.9182  7 Cu 2.57-2.82
Te  0.8048  0.8048  0.6761  7 Cu 2.64-2.92

SG ... C2/m (12)
Offset from the most stable computed form ... 0.000 eV/atom
DOS at the Fermi energy ... 6.76 states/eV/f.u.
Raw formation energy ... 0.0902 eV/atom

=====

Pm2MgCu12Ni3 | PBE-GGA | optimized geometry

Unit cell a=6.4339 b=6.4339 c=6.4339 alpha=83.13 beta=83.13 gamma=83.13
With the nearest neighbours (Å) after each atom.
Sites, in units of the cell vectors:
Pm  0.2421  0.2421  0.2421  3 Ni 2.71, 6 Cu 2.84-2.92
Pm  0.7579  0.7579  0.7579  3 Ni 2.71, 6 Cu 2.84-2.92
Mg  0.5000  0.5000  0.5000  6 Cu 2.44
Cu  0.0784  0.0784  0.6500  6 Cu 2.41-2.65
Cu  0.0784  0.6500  0.0784  6 Cu 2.41-2.65
Cu  0.2172  0.7011  0.7011  5 Cu 2.41-2.58, 1 Mg 2.44, 1 Ni 2.56
Cu  0.2989  0.2989  0.7829  5 Cu 2.41-2.58, 1 Mg 2.44, 1 Ni 2.56
Cu  0.2989  0.7828  0.2989  5 Cu 2.41-2.58, 1 Mg 2.44, 1 Ni 2.56
Cu  0.3500  0.9216  0.9216  6 Cu 2.41-2.65
Cu  0.6500  0.0784  0.0784  6 Cu 2.41-2.65
Cu  0.7011  0.2171  0.7011  5 Cu 2.41-2.58, 1 Mg 2.44, 1 Ni 2.56
Cu  0.7011  0.7011  0.2172  5 Cu 2.41-2.58, 1 Mg 2.44, 1 Ni 2.56
Cu  0.7829  0.2989  0.2989  5 Cu 2.41-2.58, 1 Mg 2.44, 1 Ni 2.56
Cu  0.9216  0.3500  0.9216  6 Cu 2.41-2.65
Cu  0.9216  0.9216  0.3500  6 Cu 2.41-2.65
Ni  0.0000  0.5000  0.5000  6 Cu 2.56-2.78, 2 Pm 2.71
Ni  0.5000  0.0000  0.5000  6 Cu 2.56-2.78, 2 Pm 2.71
Ni  0.5000  0.5000  0.0000  6 Cu 2.56-2.78, 2 Pm 2.71

SG ... R-3m (166)
DOS at the Fermi energy ... 7.40 states/eV/f.u.
Energy of formation ... 58 meV per atom

=====

Th2Ni2Ge3 | PBE-GGA | optimized geometry

Unit cell a=9.4296 b=9.4296 c=6.7500 alpha=90.00 beta=90.00 gamma=153.26
With the nearest neighbours (Å) after each atom.
Sites, in units of the cell vectors:
Th  0.0515  0.9485  0.7500  9 Ge 3.04-3.32
Th  0.1631  0.8369  0.2500  6 Ni 2.95-3.06, 6 Ge 3.08-3.09
Th  0.8369  0.1631  0.7500  6 Ni 2.95-3.06, 6 Ge 3.08-3.09
Th  0.9485  0.0515  0.2500  9 Ge 3.04-3.32
Ni  0.3075  0.6925  0.0577  4 Ge 2.45-2.64, 1 Ni 2.60
Ni  0.3075  0.6925  0.4423  4 Ge 2.45-2.64, 1 Ni 2.60
Ni  0.6925  0.3075  0.5577  4 Ge 2.45-2.64, 1 Ni 2.60
Ni  0.6925  0.3075  0.9423  4 Ge 2.45-2.64, 1 Ni 2.60
Ge  0.2184  0.7816  0.7500  6 Ni 2.58-2.64
Ge  0.4339  0.5661  0.5603  1 Ni 2.45, 2 Ge 2.56
Ge  0.4339  0.5661  0.9397  1 Ni 2.45, 2 Ge 2.56
Ge  0.5661  0.4339  0.0603  1 Ni 2.45, 2 Ge 2.56
Ge  0.5661  0.4339  0.4397  1 Ni 2.45, 2 Ge 2.56
Ge  0.7816  0.2184  0.2500  6 Ni 2.58-2.64

SG ... Cmcm (63)
DOS at the Fermi energy ... 3.21 states/eV/f.u.
Energy of formation ... -674 meV per atom

=====

AlSiRu | PBE-GGA | optimized geometry

Unit cell a=6.5296 b=6.2399 c=2.8440 alpha=82.90 beta=71.49 gamma=25.61
With the nearest neighbours (Å) after each atom.
Sites, in units of the cell vectors:
Al  0.0000  0.0000  0.0000  2 Ru 2.52, 2 Si 2.63
Si  0.3204  0.3204  0.6796  2 Ru 2.37, 2 Al 2.63
Ru  0.6678  0.6678  0.3322  2 Si 2.37, 2 Al 2.52

SG ... Fmm2 (42)
DOS at the Fermi energy ... 1.60 states/eV/f.u.
Raw formation energy ... -0.0725 eV/atom

=====

La3PmEr2 | PBE-GGA | optimized geometry

Unit cell a=10.4988 b=10.4988 c=10.4988 alpha=160.81 beta=146.71 gamma=38.71
With the nearest neighbours (Å) after each atom.
Sites, in units of the cell vectors:
La  0.0000  0.0000  0.0000  2 Pm 3.01, 4 Er 3.24
La  0.3113  0.8113  0.5000  5 Er 3.44-3.62, 2 La 3.50, 1 Pm 3.74
La  0.6887  0.1887  0.5000  5 Er 3.44-3.62, 2 La 3.50, 1 Pm 3.74
Pm  0.5000  0.0000  0.5000  2 La 3.01
Er  0.1374  0.6374  0.5000  3 La 3.24-3.44, 2 Er 3.50
Er  0.8626  0.3626  0.5000  3 La 3.24-3.44, 2 Er 3.50

SG ... Immm (71)
Offset from the most stable computed form ... 0.242 eV/atom
DOS at the Fermi energy ... 10.30 states/eV/f.u.
Energy of formation ... 302 meV per atom

=====

| no. | M_tot (μB per formula unit) |
| --- | --- |
| 1 | 0.00 |
| 2 | 0.00 |
| 3 | 0.00 |
| 4 | 0.00 |
| 5 | 0.00 |
| 6 | 0.00 |